Entry 1:
! PBE-GGA CsRbZn, relaxed; values from VASP
! Energy above the lowest structure with this stoichiometry = 69.9 meV/atom
! Crystal system = monoclinic
! Formation energy = 0.172 eV/atom
&SYSTEM
  ibrav = 0, nat = 3, ntyp = 3
/
ATOMIC_SPECIES
Cs 132.91 Cs.upf
Rb 85.47 Rb.upf
Zn 65.41 Zn.upf
ATOMIC_POSITIONS crystal
Cs 0.0000 0.0000 0.0000
Rb 0.4973 0.5000 0.5002
Zn 0.5008 0.5000 0.0004
CELL_PARAMETERS angstrom
5.3623 0.0000 0.0000
0.0000 5.3226 0.0000
-0.0322 0.0000 7.3969

---

Entry 2:
! PBE-GGA SbMoCl2, relaxed; values from VASP
! Energy above the lowest structure with this stoichiometry = 614.1 meV/atom
! Crystal system = orthorhombic
! Energy relative to the elements, uncorrected = 0.3103 eV per atom
&SYSTEM
  ibrav = 0, nat = 4, ntyp = 3
/
ATOMIC_SPECIES
Sb 121.76 Sb.upf
Mo 95.94 Mo.upf
Cl 35.45 Cl.upf
ATOMIC_POSITIONS crystal
Sb 0.0000 0.0000 0.0000
Mo 0.5000 0.0000 0.5000
Cl 0.0000 0.5000 0.5000
Cl 0.5000 0.5000 0.0000
CELL_PARAMETERS angstrom
3.1848 0.0000 0.0000
0.0000 4.6710 0.0000
0.0000 0.0000 5.5922

---

Entry 3:
! PBE-GGA Rb2NbAgBr6, relaxed; values from VASP
! Crystal system = cubic
! Energy relative to the elements, uncorrected = -1.0547 eV per atom
&SYSTEM
  ibrav = 0, nat = 10, ntyp = 4
/
ATOMIC_SPECIES
Rb 85.47 Rb.upf
Nb 92.91 Nb.upf
Ag 107.87 Ag.upf
Br 79.90 Br.upf
ATOMIC_POSITIONS crystal
Rb 0.2500 0.2500 0.2500
Rb 0.7500 0.7500 0.7500
Nb 0.0000 0.0000 0.0000
Ag 0.5000 0.5000 0.5000
Br 0.2412 0.2412 0.7588
Br 0.2412 0.7588 0.2412
Br 0.2412 0.7588 0.7588
Br 0.7588 0.2412 0.2412
Br 0.7588 0.2412 0.7588
Br 0.7588 0.7588 0.2412
CELL_PARAMETERS angstrom
0.0000 5.5123 5.5123
5.5123 0.0000 5.5123
5.5123 5.5123 0.0000

---

Entry 4:
! PBE-GGA KAs2Pt, relaxed; values from VASP
! Energy above the lowest structure with this stoichiometry = 752.1 meV/atom
! Crystal system = tetragonal
! Formation energy = 0.307 eV/atom
&SYSTEM
  ibrav = 0, nat = 4, ntyp = 3
/
ATOMIC_SPECIES
K 39.10 K.upf
As 74.92 As.upf
Pt 195.08 Pt.upf
ATOMIC_POSITIONS crystal
K 0.0000 0.0000 0.0000
As 0.5000 0.5000 0.0000
As 0.7500 0.2500 0.5000
Pt 0.2500 0.7500 0.5000
CELL_PARAMETERS angstrom
-2.1525 2.1525 4.4082
2.1525 -2.1525 4.4082
2.1525 2.1525 -4.4082

---

Entry 5:
! PBE-GGA Te2AsAuN, relaxed; values from VASP
! Energy above the lowest structure with this stoichiometry = 209.1 meV/atom
! Crystal system = tetragonal
! Energy relative to the elements, uncorrected = 1.0697 eV per atom
&SYSTEM
  ibrav = 0, nat = 5, ntyp = 4
/
ATOMIC_SPECIES
Te 127.60 Te.upf
As 74.92 As.upf
Au 196.97 Au.upf
N 14.01 N.upf
ATOMIC_POSITIONS crystal
Te 0.0000 0.5000 0.0000
Te 0.5000 0.0000 0.0000
As 0.0000 0.0000 0.5000
Au 0.5000 0.5000 0.0000
N 0.5000 0.5000 0.5000
CELL_PARAMETERS angstrom
5.6426 0.0000 0.0000
0.0000 5.6426 0.0000
0.0000 0.0000 3.7974

---

Entry 6:
! PBE-GGA Cs2LiTeBr, relaxed; values from VASP
! Crystal system = tetragonal
! Energy relative to the elements, uncorrected = -0.8593 eV per atom
&SYSTEM
  ibrav = 0, nat = 5, ntyp = 4
/
ATOMIC_SPECIES
Cs 132.91 Cs.upf
Li 6.94 Li.upf
Te 127.60 Te.upf
Br 79.90 Br.upf
ATOMIC_POSITIONS crystal
Cs 0.0000 0.5000 0.0000
Cs 0.5000 0.0000 0.0000
Li 0.0000 0.0000 0.0000
Te 0.5000 0.5000 0.5000
Br 0.0000 0.0000 0.5000
CELL_PARAMETERS angstrom
6.7866 0.0000 0.0000
0.0000 6.7866 0.0000
0.0000 0.0000 4.6485

---

Entry 7:
! PBE-GGA ThCdAg, relaxed; values from VASP
! Crystal system = orthorhombic
! Formation energy = 0.011 eV/atom
&SYSTEM
  ibrav = 0, nat = 3, ntyp = 3
/
ATOMIC_SPECIES
Th 232.04 Th.upf
Cd 112.41 Cd.upf
Ag 107.87 Ag.upf
ATOMIC_POSITIONS crystal
Th 0.0000 0.0000 0.0000
Cd 0.3272 0.3272 0.0000
Ag 0.6719 0.6719 0.0000
CELL_PARAMETERS angstrom
-1.6309 2.3278 4.8992
1.6309 -2.3278 4.8992
1.6309 2.3278 -4.8992

---

Entry 8:
! PBE-GGA NaZr2F, relaxed; values from VASP
! Energy above the lowest structure with this stoichiometry = 725.7 meV/atom
! Crystal system = cubic
! Energy relative to the elements, uncorrected = 0.2943 eV per atom
&SYSTEM
  ibrav = 0, nat = 4, ntyp = 3
/
ATOMIC_SPECIES
Na 22.99 Na.upf
Zr 91.22 Zr.upf
F 19.00 F.upf
ATOMIC_POSITIONS crystal
Na 0.0000 0.0000 0.0000
Zr 0.2500 0.2500 0.2500
Zr 0.7500 0.7500 0.7500
F 0.5000 0.5000 0.5000
CELL_PARAMETERS angstrom
0.0000 3.4294 3.4294
3.4294 0.0000 3.4294
3.4294 3.4294 0.0000

---

Entry 9:
! PBE-GGA Cu2SnRu, relaxed; values from VASP
! Crystal system = tetragonal
! Formation energy = 0.026 eV/atom
&SYSTEM
  ibrav = 0, nat = 4, ntyp = 3
/
ATOMIC_SPECIES
Cu 63.55 Cu.upf
Sn 118.71 Sn.upf
Ru 101.07 Ru.upf
ATOMIC_POSITIONS crystal
Cu 0.0000 0.5000 0.0000
Cu 0.5000 0.0000 0.0000
Sn 0.0000 0.0000 0.5000
Ru 0.5000 0.5000 0.5000
CELL_PARAMETERS angstrom
3.8324 0.0000 0.0000
0.0000 3.8324 0.0000
0.0000 0.0000 4.0033

---

Entry 10:
! PBE-GGA LaPm2Sm12, relaxed; values from VASP
! Crystal system = orthorhombic
! Formation energy = 0.154 eV/atom
&SYSTEM
  ibrav = 0, nat = 30, ntyp = 3
/
ATOMIC_SPECIES
La 138.91 La.upf
Pm 145.00 Pm.upf
Sm 150.36 Sm.upf
ATOMIC_POSITIONS crystal
La 0.2500 0.7500 0.9980
La 0.7500 0.2500 0.0020
Pm 0.2500 0.7500 0.2681
Pm 0.2500 0.7500 0.7254
Pm 0.7500 0.2500 0.2746
Pm 0.7500 0.2500 0.7319
Sm 0.0024 0.5024 0.8686
Sm 0.0038 0.9962 0.0786
Sm 0.0188 0.5188 0.4175
Sm 0.0233 0.9767 0.5594
Sm 0.2500 0.2500 0.2014
Sm 0.2500 0.2500 0.3281
Sm 0.2500 0.2500 0.6719
Sm 0.2500 0.2500 0.7986
Sm 0.4767 0.5233 0.5594
Sm 0.4812 0.9812 0.4175
Sm 0.4962 0.5038 0.0786
Sm 0.4976 0.9976 0.8686
Sm 0.5024 0.0024 0.1314
Sm 0.5038 0.4962 0.9214
Sm 0.5188 0.0188 0.5825
Sm 0.5233 0.4767 0.4406
Sm 0.7500 0.7500 0.2014
Sm 0.7500 0.7500 0.3281
Sm 0.7500 0.7500 0.6719
Sm 0.7500 0.7500 0.7986
Sm 0.9767 0.0233 0.4406
Sm 0.9812 0.4812 0.5825
Sm 0.9962 0.0038 0.9214
Sm 0.9976 0.4976 0.1314
CELL_PARAMETERS angstrom
3.5787 -5.7831 0.0000
3.5787 5.7831 0.0000
0.0000 0.0000 25.1856

---

Entry 11:
! PBE-GGA SmYPt2, relaxed; values from VASP
! Energy above the lowest structure with this stoichiometry = 75.5 meV/atom
! Crystal system = tetragonal
! Formation energy = -1.149 eV/atom
&SYSTEM
  ibrav = 0, nat = 4, ntyp = 3
/
ATOMIC_SPECIES
Sm 150.36 Sm.upf
Y 88.91 Y.upf
Pt 195.08 Pt.upf
ATOMIC_POSITIONS crystal
Sm 0.0000 0.0000 0.0000
Y 0.5000 0.5000 0.0000
Pt 0.0000 0.5000 0.5000
Pt 0.5000 0.0000 0.5000
CELL_PARAMETERS angstrom
5.0366 0.0000 0.0000
0.0000 5.0366 0.0000
0.0000 0.0000 3.4824

---

Entry 12:
! PBE-GGA PrAl4IrPd2, relaxed; values from VASP
! Crystal system = trigonal
! Formation energy = -0.782 eV/atom
&SYSTEM
  ibrav = 0, nat = 8, ntyp = 4
/
ATOMIC_SPECIES
Pr 140.91 Pr.upf
Al 26.98 Al.upf
Ir 192.22 Ir.upf
Pd 106.42 Pd.upf
ATOMIC_POSITIONS crystal
Pr 0.0000 0.0000 0.0000
Al 0.1349 0.1349 0.1349
Al 0.4057 0.4057 0.4057
Al 0.5943 0.5943 0.5943
Al 0.8651 0.8651 0.8651
Ir 0.5000 0.5000 0.5000
Pd 0.2326 0.2326 0.2326
Pd 0.7674 0.7674 0.7674
CELL_PARAMETERS angstrom
2.1370 1.2338 9.0928
-2.1370 1.2338 9.0928
0.0000 -2.4676 9.0928

---

Entry 13:
! PBE-GGA LiSmScRe, relaxed; values from VASP
! Crystal system = cubic
! Formation energy = 0.089 eV/atom
&SYSTEM
  ibrav = 0, nat = 4, ntyp = 4
/
ATOMIC_SPECIES
Li 6.94 Li.upf
Sm 150.36 Sm.upf
Sc 44.96 Sc.upf
Re 186.21 Re.upf
ATOMIC_POSITIONS crystal
Li 0.0000 0.0000 0.0000
Sm 0.2500 0.2500 0.2500
Sc 0.7500 0.7500 0.7500
Re 0.5000 0.5000 0.5000
CELL_PARAMETERS angstrom
0.0000 3.4190 3.4190
3.4190 0.0000 3.4190
3.4190 3.4190 0.0000

---

Entry 14:
! PBE-GGA LiTl2Co, relaxed; values from VASP
! Crystal system = tetragonal
! Formation energy = 0.265 eV/atom
&SYSTEM
  ibrav = 0, nat = 4, ntyp = 3
/
ATOMIC_SPECIES
Li 6.94 Li.upf
Tl 204.38 Tl.upf
Co 58.93 Co.upf
ATOMIC_POSITIONS crystal
Li 0.0000 0.0000 0.0000
Tl 0.0000 0.0000 0.5650
Tl 0.5000 0.5000 0.2138
Co 0.5000 0.5000 0.7560
CELL_PARAMETERS angstrom
3.6026 0.0000 0.0000
0.0000 3.6026 0.0000
0.0000 0.0000 5.9346

---

Entry 15:
! PBE-GGA CoSb2Rh, relaxed; values from VASP
! Energy above the lowest structure with this stoichiometry = 2.5 meV/atom
! Crystal system = monoclinic
! Energy relative to the elements, uncorrected = -0.1294 eV per atom
&SYSTEM
  ibrav = 0, nat = 4, ntyp = 3
/
ATOMIC_SPECIES
Co 58.93 Co.upf
Sb 121.76 Sb.upf
Rh 102.91 Rh.upf
ATOMIC_POSITIONS crystal
Co 0.0000 0.0000 0.0000
Sb 0.4584 0.5000 0.9140
Sb 0.7506 0.0000 0.4969
Rh 0.1824 0.5000 0.3592
CELL_PARAMETERS angstrom
3.5181 0.0000 0.0000
0.0000 3.8925 0.0000
-1.7404 0.0000 5.1480

---

Entry 16:
! PBE-GGA Li3Tl2Ag4, relaxed; values from VASP
! Energy above the lowest structure with this stoichiometry = 0.0 meV/atom
! Crystal system = triclinic
! Formation energy = -0.131 eV/atom
&SYSTEM
  ibrav = 0, nat = 9, ntyp = 3
/
ATOMIC_SPECIES
Li 6.94 Li.upf
Tl 204.38 Tl.upf
Ag 107.87 Ag.upf
ATOMIC_POSITIONS crystal
Li 0.0000 0.0000 0.0000
Li 0.4449 0.1105 0.6721
Li 0.5551 0.8895 0.3279
Tl 0.2423 0.5523 0.3220
Tl 0.7577 0.4477 0.6780
Ag 0.1004 0.7925 0.6730
Ag 0.3234 0.3193 0.0007
Ag 0.6766 0.6807 0.9993
Ag 0.8996 0.2075 0.3270
CELL_PARAMETERS angstrom
5.1223 0.0000 0.0000
2.4995 4.4807 0.0000
2.2682 1.6692 7.3998

---

Entry 17:
! PBE-GGA CrTe, relaxed; values from VASP
! Crystal system = orthorhombic
! Energy relative to the elements, uncorrected = 0.0456 eV per atom
&SYSTEM
  ibrav = 0, nat = 4, ntyp = 2
/
ATOMIC_SPECIES
Cr 52.00 Cr.upf
Te 127.60 Te.upf
ATOMIC_POSITIONS crystal
Cr 0.1323 0.8677 0.7500
Cr 0.8677 0.1323 0.2500
Te 0.2628 0.7372 0.2500
Te 0.7372 0.2628 0.7500
CELL_PARAMETERS angstrom
2.7328 -3.5176 0.0000
2.7328 3.5176 0.0000
0.0000 0.0000 5.3000

---

Entry 18:
! PBE-GGA H3OsRu, relaxed; values from VASP
! Energy above the lowest structure with this stoichiometry = 64.0 meV/atom
! Crystal system = cubic
&SYSTEM
  ibrav = 0, nat = 5, ntyp = 3
/
ATOMIC_SPECIES
H 1.01 H.upf
Os 190.23 Os.upf
Ru 101.07 Ru.upf
ATOMIC_POSITIONS crystal
H 0.0000 0.0000 0.5000
H 0.0000 0.5000 0.0000
H 0.5000 0.0000 0.0000
Os 0.5000 0.5000 0.5000
Ru 0.0000 0.0000 0.0000
CELL_PARAMETERS angstrom
3.3722 0.0000 0.0000
0.0000 3.3722 0.0000
0.0000 0.0000 3.3722

---

Entry 19:
! PBE-GGA TlCuO2, relaxed; values from VASP
! Energy above the lowest structure with this stoichiometry = 219.2 meV/atom
! Crystal system = monoclinic
! Energy relative to the elements, uncorrected = -0.3732 eV per atom
&SYSTEM
  ibrav = 0, nat = 8, ntyp = 3
/
ATOMIC_SPECIES
Tl 204.38 Tl.upf
Cu 63.55 Cu.upf
O 16.00 O.upf
ATOMIC_POSITIONS crystal
Tl 0.1252 0.8748 0.7500
Tl 0.8748 0.1252 0.2500
Cu 0.3775 0.6225 0.2500
Cu 0.6225 0.3775 0.7500
O 0.1576 0.4045 0.8102
O 0.4045 0.1576 0.3102
O 0.5955 0.8424 0.6898
O 0.8424 0.5955 0.1898
CELL_PARAMETERS angstrom
3.4054 -3.4045 0.0000
3.4054 3.4045 0.0000
-3.3867 0.0000 4.5077

---

Entry 20:
! PBE-GGA LiPrCdIr, relaxed; values from VASP
! Crystal system = cubic
! Formation energy = -0.292 eV/atom
&SYSTEM
  ibrav = 0, nat = 4, ntyp = 4
/
ATOMIC_SPECIES
Li 6.94 Li.upf
Pr 140.91 Pr.upf
Cd 112.41 Cd.upf
Ir 192.22 Ir.upf
ATOMIC_POSITIONS crystal
Li 0.0000 0.0000 0.0000
Pr 0.7500 0.7500 0.7500
Cd 0.2500 0.2500 0.2500
Ir 0.5000 0.5000 0.5000
CELL_PARAMETERS angstrom
0.0000 3.4547 3.4547
3.4547 0.0000 3.4547
3.4547 3.4547 0.0000

---

Entry 21:
! PBE-GGA PmDy3Er6, relaxed; values from VASP
! Energy above the lowest structure with this stoichiometry = 141.4 meV/atom
! Crystal system = trigonal
! Formation energy = 0.290 eV/atom
&SYSTEM
  ibrav = 0, nat = 10, ntyp = 3
/
ATOMIC_SPECIES
Pm 145.00 Pm.upf
Dy 162.50 Dy.upf
Er 167.26 Er.upf
ATOMIC_POSITIONS crystal
Pm 0.0000 0.0000 0.0000
Dy 0.2572 0.2572 0.2572
Dy 0.5017 0.5017 0.5017
Dy 0.7534 0.7534 0.7534
Er 0.1633 0.8248 0.4892
Er 0.3272 0.6616 0.9897
Er 0.4892 0.1633 0.8248
Er 0.6616 0.9897 0.3272
Er 0.8248 0.4892 0.1633
Er 0.9897 0.3272 0.6616
CELL_PARAMETERS angstrom
4.8810 2.8181 3.8666
-4.8810 2.8181 3.8666
0.0000 -5.6361 3.8666

---

Entry 22:
! PBE-GGA ZnSi2Se, relaxed; values from VASP
! Energy above the lowest structure with this stoichiometry = 473.4 meV/atom
! Crystal system = tetragonal
! Energy relative to the elements, uncorrected = 0.4857 eV per atom
&SYSTEM
  ibrav = 0, nat = 4, ntyp = 3
/
ATOMIC_SPECIES
Zn 65.41 Zn.upf
Si 28.09 Si.upf
Se 78.96 Se.upf
ATOMIC_POSITIONS crystal
Zn 0.0000 0.0000 0.0000
Si 0.0000 0.5000 0.5000
Si 0.5000 0.0000 0.5000
Se 0.5000 0.5000 0.0000
CELL_PARAMETERS angstrom
4.5951 0.0000 0.0000
0.0000 4.5951 0.0000
0.0000 0.0000 3.2883

---

Entry 23:
! PBE-GGA Pm2Dy5Sc4, relaxed; values from VASP
! Energy above the lowest structure with this stoichiometry = 57.9 meV/atom
! Crystal system = monoclinic
! Formation energy = 0.184 eV/atom
&SYSTEM
  ibrav = 0, nat = 11, ntyp = 3
/
ATOMIC_SPECIES
Pm 145.00 Pm.upf
Dy 162.50 Dy.upf
Sc 44.96 Sc.upf
ATOMIC_POSITIONS crystal
Pm 0.1858 0.1858 0.2572
Pm 0.8142 0.8142 0.7428
Dy 0.2609 0.7247 0.3314
Dy 0.2753 0.7391 0.6686
Dy 0.5000 0.5000 0.0000
Dy 0.7247 0.2609 0.3314
Dy 0.7391 0.2753 0.6686
Sc 0.2212 0.2212 0.9717
Sc 0.2288 0.2288 0.6328
Sc 0.7712 0.7712 0.3672
Sc 0.7788 0.7788 0.0283
CELL_PARAMETERS angstrom
5.9735 -3.3044 0.0000
5.9735 3.3044 0.0000
-5.9207 0.0000 8.3268

---

Entry 24:
! PBE-GGA W2AuSe, relaxed; values from VASP
! Crystal system = tetragonal
! Energy relative to the elements, uncorrected = 0.8582 eV per atom
&SYSTEM
  ibrav = 0, nat = 8, ntyp = 3
/
ATOMIC_SPECIES
W 183.84 W.upf
Au 196.97 Au.upf
Se 78.96 Se.upf
ATOMIC_POSITIONS crystal
W 0.1063 0.6250 0.9813
W 0.3750 0.3563 0.4813
W 0.6437 0.1250 0.0187
W 0.8750 0.8937 0.5187
Au 0.0000 0.0000 0.0000
Au 0.7500 0.2500 0.5000
Se 0.2500 0.7500 0.5000
Se 0.5000 0.5000 0.0000
CELL_PARAMETERS angstrom
-1.9252 1.9252 9.8486
1.9252 -1.9252 9.8486
1.9252 1.9252 -9.8486

---

Entry 25:
! PBE-GGA Tm2SnHg, relaxed; values from VASP
! Crystal system = monoclinic
! Formation energy = -0.546 eV/atom
&SYSTEM
  ibrav = 0, nat = 8, ntyp = 3
/
ATOMIC_SPECIES
Tm 168.93 Tm.upf
Sn 118.71 Sn.upf
Hg 200.59 Hg.upf
ATOMIC_POSITIONS crystal
Tm 0.2009 0.2500 0.4312
Tm 0.2908 0.7500 0.0696
Tm 0.7092 0.2500 0.9304
Tm 0.7991 0.7500 0.5688
Sn 0.3824 0.7500 0.7064
Sn 0.6176 0.2500 0.2936
Hg 0.1110 0.2500 0.7997
Hg 0.8890 0.7500 0.2003
CELL_PARAMETERS angstrom
6.0335 0.0000 0.0000
0.0000 4.3517 0.0000
-2.8268 0.0000 8.0741

---

Entry 26:
! PBE-GGA Rb3Pr3GaTe8, relaxed; values from VASP
! Crystal system = monoclinic
! Energy relative to the elements, uncorrected = -1.0515 eV per atom
&SYSTEM
  ibrav = 0, nat = 15, ntyp = 4
/
ATOMIC_SPECIES
Rb 85.47 Rb.upf
Pr 140.91 Pr.upf
Ga 69.72 Ga.upf
Te 127.60 Te.upf
ATOMIC_POSITIONS crystal
Rb 0.0000 0.0000 0.0000
Rb 0.0000 0.5000 0.0000
Rb 0.5000 0.0000 0.0000
Pr 0.0000 0.5000 0.5000
Pr 0.5000 0.0000 0.5000
Pr 0.5000 0.5000 0.5000
Ga 0.0000 0.0000 0.5000
Te 0.2155 0.2155 0.6904
Te 0.2190 0.7548 0.6927
Te 0.2452 0.7810 0.3073
Te 0.2636 0.2636 0.2915
Te 0.7364 0.7364 0.7085
Te 0.7548 0.2190 0.6927
Te 0.7810 0.2452 0.3073
Te 0.7845 0.7845 0.3096
CELL_PARAMETERS angstrom
7.8335 -4.5263 0.0000
7.8335 4.5263 0.0000
-5.2281 0.0000 8.8813